The following is a GGA-PBE calculation of crystalline PmDy4Mg5 at its relaxed geometry, from Alexandria via LeMat-Bulk.

Geometry as CIF:
```
data_PmDy4Mg5
_chemical_formula_sum 'Pm1 Dy4 Mg5'
_cell_length_a 3.7980
_cell_length_b 3.7980
_cell_length_c 19.0550
_cell_angle_alpha 90.00
_cell_angle_beta 90.00
_cell_angle_gamma 90.00
_space_group_name_H-M_alt 'P 4/m m m'
_space_group_IT_number 123
_space_group_name_Hall '-P 4 2'
loop_
_atom_site_label
_atom_site_type_symbol
_atom_site_fract_x
_atom_site_fract_y
_atom_site_fract_z
Pm1 Pm 0.0000 0.0000 0.0000
Dy1 Dy 0.0000 0.0000 0.2036
Dy2 Dy 0.0000 0.0000 0.4012
Mg1 Mg 0.5000 0.5000 0.1045
Mg2 Mg 0.5000 0.5000 0.3022
Mg3 Mg 0.5000 0.5000 0.5000
```

Output
As for the formation energy from the elements: -0.84 eV/f.u. As for the crystal system: tetragonal. For the volume, the calculation gives 27.486 A^3/atom. The total energy is -3.197 eV per atom.

=====

The following is a GGA-PBE calculation of crystalline CaYErCd at its relaxed geometry, from Alexandria via LeMat-Bulk.

Geometry as CIF:
```
data_CaYErCd
_chemical_formula_sum 'Ca4 Y4 Er4 Cd4'
_cell_length_a 7.7714
_cell_length_b 7.7714
_cell_length_c 7.7714
_cell_angle_alpha 90.00
_cell_angle_beta 90.00
_cell_angle_gamma 90.00
_space_group_name_H-M_alt 'F -4 3 m'
_space_group_IT_number 216
_space_group_name_Hall 'F -4 2 3'
loop_
_atom_site_label
_atom_site_type_symbol
_atom_site_fract_x
_atom_site_fract_y
_atom_site_fract_z
Ca1 Ca 0.0000 0.0000 0.0000
Y1 Y 0.2500 0.2500 0.7500
Er1 Er 0.2500 0.2500 0.2500
Cd1 Cd 0.0000 0.0000 0.5000
```

Output
As for the formation energy from the elements: -0.02 eV/f.u. As for the crystal system: cubic. For the volume, the calculation gives 29.335 A^3/atom. The total energy is -3.492 eV per atom.

=====

Please write out number 1 again, unchanged.
The following is a GGA-PBE calculation of crystalline PmDy4Mg5 at its relaxed geometry, from Alexandria via LeMat-Bulk.

Geometry as CIF:
```
data_PmDy4Mg5
_chemical_formula_sum 'Pm1 Dy4 Mg5'
_cell_length_a 3.7980
_cell_length_b 3.7980
_cell_length_c 19.0550
_cell_angle_alpha 90.00
_cell_angle_beta 90.00
_cell_angle_gamma 90.00
_space_group_name_H-M_alt 'P 4/m m m'
_space_group_IT_number 123
_space_group_name_Hall '-P 4 2'
loop_
_atom_site_label
_atom_site_type_symbol
_atom_site_fract_x
_atom_site_fract_y
_atom_site_fract_z
Pm1 Pm 0.0000 0.0000 0.0000
Dy1 Dy 0.0000 0.0000 0.2036
Dy2 Dy 0.0000 0.0000 0.4012
Mg1 Mg 0.5000 0.5000 0.1045
Mg2 Mg 0.5000 0.5000 0.3022
Mg3 Mg 0.5000 0.5000 0.5000
```

Output
As for the formation energy from the elements: -0.84 eV/f.u. As for the crystal system: tetragonal. For the volume, the calculation gives 27.486 A^3/atom. The total energy is -3.197 eV per atom.

=====

> Among the records above, which one has the lowest formation energy from the elements?

PmDy4Mg5

=====

> Which formula does entry 2 have?

CaYErCd

=====

> Among the records above, which one has the highest formation energy from the elements?

CaYErCd